Compound: NaAc2Ag6
Source: Alexandria via LeMat-Bulk
Functional: PBE
Structure: relaxed

Structure (POSCAR):
```
NaAc2Ag6
1.0
-0.223 -4.285 -4.200
1.836 -4.505 4.498
-4.587 -3.223 3.531
Na Ac Ag
1 2 6
direct
0.000 0.000 0.000
0.832 0.667 0.667
0.168 0.333 0.333
0.338 0.372 0.814
0.337 0.814 0.814
0.338 0.814 0.372
0.662 0.628 0.186
0.663 0.186 0.186
0.662 0.186 0.628
```

Energy of formation from the pure elements in meV per atom: -122
Excess energy over the best structure of this formula in the dataset in eV per atom: 0.047
Spin magnetization in μB per cell: 0.0
DFT total energy in eV/atom: -3.0822

***

Compound: NaAc2AgO5
Source: Alexandria via LeMat-Bulk
Functional: PBE
Structure: relaxed

Structure (POSCAR):
```
NaAc2AgO5
1.0
6.021 0.000 0.000
0.000 7.187 0.000
0.000 0.000 7.187
Na Ac Ag O
2 4 2 10
direct
0.000 0.500 0.500
0.000 0.000 0.000
0.500 0.681 0.181
0.500 0.181 0.319
0.500 0.819 0.681
0.500 0.319 0.819
0.000 0.000 0.500
0.000 0.500 0.000
0.500 0.500 0.500
0.500 0.000 0.000
0.247 0.134 0.634
0.247 0.866 0.366
0.247 0.366 0.134
0.247 0.634 0.866
0.753 0.134 0.634
0.753 0.634 0.866
0.753 0.866 0.366
0.753 0.366 0.134
```

Formation energy without anion corrections in meV/atom: -2076
Spin magnetization in μB per cell: 0.0
DFT total energy in eV/atom: -6.2066

***

Compound: Na3Ac3AgO8
Source: Alexandria via LeMat-Bulk
Functional: PBE
Structure: relaxed

Structure (POSCAR):
```
Na3Ac3AgO8
1.0
-6.610 -1.343 3.191
3.327 -5.220 -4.029
2.562 2.179 6.224
Na Ac Ag O
3 3 1 8
direct
0.000 0.000 0.000
0.000 0.500 0.000
0.500 0.500 0.000
0.500 0.000 0.500
0.500 0.500 0.500
0.000 0.500 0.500
0.000 0.000 0.500
0.257 0.514 0.281
0.743 0.486 0.719
0.791 0.582 0.299
0.209 0.418 0.701
0.771 0.004 0.281
0.229 0.996 0.719
0.232 0.004 0.281
0.768 0.996 0.719
```

Formation energy without anion corrections in meV/atom: -1957
Spin magnetization in μB per cell: 1.0
DFT total energy in eV/atom: -5.8768

***

Compound: NaAcAgO3
Source: Alexandria via LeMat-Bulk
Functional: PBE
Structure: relaxed

Structure (POSCAR):
```
NaAcAgO3
1.0
-0.024 -2.935 2.130
5.086 -1.806 -2.431
2.244 5.283 7.305
Na Ac Ag O
2 2 2 6
direct
0.250 0.764 0.056
0.750 0.236 0.944
0.250 0.351 0.297
0.750 0.649 0.703
0.250 0.109 0.649
0.750 0.891 0.351
0.750 0.056 0.164
0.250 0.944 0.836
0.250 0.733 0.511
0.750 0.267 0.489
0.750 0.550 0.187
0.250 0.450 0.813
```

Formation energy without anion corrections in meV/atom: -1702
Spin magnetization in μB per cell: 1.7
DFT total energy in eV/atom: -5.5609

***

Compound: Na2AcAgO4
Source: Alexandria via LeMat-Bulk
Functional: PBE
Structure: relaxed

Structure (POSCAR):
```
Na2AcAgO4
1.0
-0.269 3.368 -4.198
3.037 -4.329 -1.034
-4.805 -2.077 1.275
Na Ac Ag O
2 1 1 4
direct
0.500 0.750 0.250
0.000 0.000 0.000
0.500 0.250 0.750
0.000 0.500 0.500
0.525 0.289 0.254
0.964 0.235 0.711
0.036 0.746 0.271
0.475 0.729 0.765
```

Formation energy without anion corrections in meV/atom: -1602
Spin magnetization in μB per cell: 0.0
DFT total energy in eV/atom: -5.2807

***

Compound: NaAc2AgO4
Source: Alexandria via LeMat-Bulk
Functional: PBE
Structure: relaxed

Structure (POSCAR):
```
NaAc2AgO4
1.0
3.838 0.000 0.000
0.000 6.694 0.097
0.000 -2.379 5.453
Na Ac Ag O
1 2 1 4
direct
0.500 0.500 0.000
0.500 0.000 0.500
0.000 0.500 0.500
0.000 0.000 0.000
0.500 0.261 0.277
0.500 0.739 0.723
0.000 0.248 0.720
0.000 0.752 0.280
```

Formation energy without anion corrections in meV/atom: -2230
Spin magnetization in μB per cell: 0.0
DFT total energy in eV/atom: -6.2573

***

Which of these has the highest DFT total energy? NaAc2Ag6

***

What is the formula in the first record? NaAc2Ag6